VASP calculation (PBE-GGA) on CsTlHg2Sb2 after structural relaxation.

The structure belongs to space group P-3m1 (No. 164); the cell edges are 4.9264, 4.9264 and 10.6653 Å and the angles 90.00°, 90.00° and 120.00°. Symmetry generates all atoms from Cs at (0.0000, 0.0000, 0.0000), Tl at (0.0000, 0.0000, 0.5000), Hg at (0.3333, 0.6667, 0.7104) and Sb at (0.3333, 0.6667, 0.2738).

Its total energy is -0.161 Ry/atom. Its formation energy from raw total energies is -0.183 eV/atom.

---

VASP calculation (PBE-GGA) on Cs2ZnHgSb after structural relaxation.

The structure belongs to space group P4/mmm (No. 123); the cell edges are 7.102, 7.102 and 5.124 Å and the angles 90.00°, 90.00° and 90.00°. Symmetry generates all atoms from Cs at (0.000, 0.500, 0.000), Zn at (0.000, 0.000, 0.000), Hg at (0.500, 0.500, 0.500) and Sb at (0.000, 0.000, 0.500).

Its total energy is -0.121 Ry/atom. The calculation puts the relative energy among the computed polymorphs at 0 meV per atom. Its formation energy from raw total energies is -0.158 eV/atom.

---

VASP calculation (PBE-GGA) on CsZnHg2Sb after structural relaxation.

The structure belongs to space group P4/mmm (No. 123); the cell edges are 5.686, 5.686 and 5.331 Å and the angles 90.00°, 90.00° and 90.00°. Symmetry generates all atoms from Cs at (0.000, 0.000, 0.000), Zn at (0.500, 0.500, 0.500), Hg at (0.000, 0.500, 0.500) and Sb at (0.500, 0.500, 0.000).

Its total energy is -0.107 Ry/atom. Its formation energy from raw total energies is -0.081 eV/atom.

---

VASP calculation (PBE-GGA) on Cs4ZnHg2Sb2 after structural relaxation.

The structure belongs to space group C2/m (No. 12); the cell edges are 13.575, 10.098 and 6.229 Å and the angles 90.00°, 91.48° and 90.00°. Symmetry generates all atoms from Cs at (0.123, 0.247, 0.200), Zn at (0.000, 0.500, 0.500), Hg at (0.160, 0.000, 0.680) and Sb at (0.165, 0.500, 0.697).

Its total energy is -0.136 Ry/atom. Its formation energy from raw total energies is -0.345 eV/atom.